# 1
# LiPmEu2

A relaxed structure of LiPmEu2 (GGA-PBE, Alexandria via LeMat-Bulk).

Unit cell a=5.856 b=5.856 c=5.856 alpha=60.00 beta=60.00 gamma=60.00
Sites, in units of the cell vectors:
Li: 0.000 0.000 0.000
Pm: 0.500 0.500 0.500
Eu: 0.250 0.250 0.250
Eu: 0.750 0.750 0.750

Computed properties:
- E_form: 0.8 eV per formula unit
- N(E_F): 4.73 states/eV/cell
- E: -6.5950 eV/atom
- Offset from the most stable computed form: 0.125 eV/atom

# 2
# Na3Ce2ThS6

A relaxed structure of Na3Ce2ThS6 (GGA-PBE, Alexandria via LeMat-Bulk).

Unit cell a=7.120 b=7.120 c=7.122 alpha=99.60 beta=99.60 gamma=119.99
Sites, in units of the cell vectors:
Na: 0.000 0.000 0.000
Na: 0.332 0.668 0.000
Na: 0.668 0.332 0.000
Ce: 0.167 0.833 0.500
Ce: 0.833 0.167 0.500
Th: 0.500 0.500 0.500
S: 0.093 0.421 0.264
S: 0.251 0.251 0.735
S: 0.421 0.093 0.264
S: 0.579 0.907 0.736
S: 0.749 0.749 0.265
S: 0.907 0.579 0.736

Computed properties:
- N(E_F): 14.68 states/eV/cell
- E: -5.7077 eV/atom
- Formation energy (no corrections): -1.71 eV/atom

# 3
# LiMg2ScPb

A relaxed structure of LiMg2ScPb (GGA-PBE, Alexandria via LeMat-Bulk).

Unit cell a=4.823 b=4.823 c=4.945 alpha=90.00 beta=90.00 gamma=90.00
Sites, in units of the cell vectors:
Li: 0.000 0.000 0.000
Mg: 0.000 0.500 0.000
Mg: 0.500 0.000 0.000
Sc: 0.500 0.500 0.500
Pb: 0.000 0.000 0.500

Computed properties:
- E_form: 0.8 eV per formula unit
- N(E_F): 3.75 states/eV/cell
- E: -2.8634 eV/atom

# 4
# Nd3HoBi2

A relaxed structure of Nd3HoBi2 (GGA-PBE, Alexandria via LeMat-Bulk).

Unit cell a=9.208 b=9.208 c=9.208 alpha=133.96 beta=72.13 gamma=127.78
Sites, in units of the cell vectors:
Nd: 0.048 0.750 0.298
Nd: 0.250 0.250 0.000
Nd: 0.452 0.750 0.702
Nd: 0.548 0.250 0.298
Nd: 0.750 0.750 0.000
Nd: 0.952 0.250 0.702
Ho: 0.000 0.500 0.500
Ho: 0.500 0.000 0.500
Bi: 0.147 0.168 0.315
Bi: 0.353 0.668 0.021
Bi: 0.647 0.332 0.979
Bi: 0.853 0.832 0.685

Computed properties:
- E_form: -2.4 eV per formula unit
- N(E_F): 15.21 states/eV/cell
- E: -4.8481 eV/atom
- Offset from the most stable computed form: 0.239 eV/atom

# 5
# CeCuI5

A relaxed structure of CeCuI5 (GGA-PBE, Alexandria via LeMat-Bulk).

Unit cell a=8.017 b=8.017 c=11.429 alpha=110.43 beta=110.43 gamma=85.98
Sites, in units of the cell vectors:
Ce: 0.000 0.500 0.000
Ce: 0.500 0.000 0.500
Cu: 0.138 0.862 0.750
Cu: 0.862 0.138 0.250
I: 0.149 0.175 0.456
I: 0.171 0.587 0.829
I: 0.175 0.149 0.956
I: 0.338 0.662 0.250
I: 0.413 0.829 0.671
I: 0.587 0.171 0.329
I: 0.662 0.338 0.750
I: 0.825 0.851 0.044
I: 0.829 0.413 0.171
I: 0.851 0.825 0.544

Computed properties:
- N(E_F): 2.18 states/eV/cell
- E: -3.3671 eV/atom
- Formation energy (no corrections): -0.83 eV/atom

# 6
# CaHoHgAu

A relaxed structure of CaHoHgAu (GGA-PBE, Alexandria via LeMat-Bulk).

Unit cell a=5.175 b=5.175 c=5.175 alpha=60.00 beta=60.00 gamma=60.00
Sites, in units of the cell vectors:
Ca: 0.000 0.000 0.000
Ho: 0.500 0.500 0.500
Hg: 0.250 0.250 0.250
Au: 0.750 0.750 0.750

Computed properties:
- E_form: -2.6 eV per formula unit
- N(E_F): 2.26 states/eV/cell
- E: -3.1914 eV/atom

# 7
# Tb4NpS6

A relaxed structure of Tb4NpS6 (GGA-PBE, Alexandria via LeMat-Bulk).

Unit cell a=6.767 b=6.767 c=19.726 alpha=90.00 beta=90.00 gamma=146.68
Sites, in units of the cell vectors:
Tb: 0.091 0.909 0.629
Tb: 0.091 0.909 0.871
Tb: 0.361 0.639 0.541
Tb: 0.361 0.639 0.959
Tb: 0.639 0.361 0.041
Tb: 0.639 0.361 0.459
Tb: 0.909 0.091 0.129
Tb: 0.909 0.091 0.371
Np: 0.155 0.845 0.250
Np: 0.845 0.155 0.750
S: 0.000 0.000 0.000
S: 0.000 0.000 0.500
S: 0.192 0.808 0.750
S: 0.270 0.730 0.090
S: 0.270 0.730 0.410
S: 0.453 0.547 0.668
S: 0.453 0.547 0.832
S: 0.547 0.453 0.168
S: 0.547 0.453 0.332
S: 0.730 0.270 0.590
S: 0.730 0.270 0.910
S: 0.808 0.192 0.250

Computed properties:
- N(E_F): 27.33 states/eV/cell
- E: -6.9969 eV/atom
- Formation energy (no corrections): -1.89 eV/atom

# 8
# KSm2YSe4

A relaxed structure of KSm2YSe4 (GGA-PBE, Alexandria via LeMat-Bulk).

Unit cell a=7.353 b=4.174 c=7.380 alpha=90.00 beta=108.57 gamma=90.00
Sites, in units of the cell vectors:
K: 0.000 0.000 0.000
Sm: 0.500 0.000 0.500
Sm: 0.500 0.500 0.000
Y: 0.000 0.500 0.500
Se: 0.249 0.000 0.740
Se: 0.261 0.500 0.267
Se: 0.739 0.500 0.733
Se: 0.751 0.000 0.260

Computed properties:
- N(E_F): 2.88 states/eV/cell
- E: -5.5936 eV/atom
- Formation energy (no corrections): -1.73 eV/atom

# 9
# Ca2HfCu2

A relaxed structure of Ca2HfCu2 (GGA-PBE, Alexandria via LeMat-Bulk).

Unit cell a=6.930 b=6.930 c=4.771 alpha=90.00 beta=90.00 gamma=90.00
Sites, in units of the cell vectors:
Ca: 0.176 0.324 0.000
Ca: 0.324 0.824 0.000
Ca: 0.676 0.176 0.000
Ca: 0.824 0.676 0.000
Hf: 0.000 0.000 0.500
Hf: 0.500 0.500 0.500
Cu: 0.126 0.626 0.500
Cu: 0.374 0.126 0.500
Cu: 0.626 0.874 0.500
Cu: 0.874 0.374 0.500

Computed properties:
- E_form: 0.4 eV per formula unit
- N(E_F): 3.58 states/eV/cell
- E: -4.3456 eV/atom

# 10
# Li2MoRhAu

A relaxed structure of Li2MoRhAu (GGA-PBE, Alexandria via LeMat-Bulk).

Unit cell a=4.170 b=4.170 c=5.115 alpha=90.00 beta=90.00 gamma=90.00
Sites, in units of the cell vectors:
Li: 0.000 0.500 0.000
Li: 0.500 0.000 0.000
Mo: 0.000 0.000 0.500
Rh: 0.500 0.500 0.000
Au: 0.500 0.500 0.500

Computed properties:
- E_form: 5.6 eV per formula unit
- N(E_F): 9.05 states/eV/cell
- E: -3.9407 eV/atom

# 11
# NdHg3

A relaxed structure of NdHg3 (GGA-PBE, Alexandria via LeMat-Bulk).

Unit cell a=6.808 b=6.808 c=5.069 alpha=90.00 beta=90.00 gamma=120.00
Sites, in units of the cell vectors:
Nd: 0.333 0.667 0.250
Nd: 0.667 0.333 0.750
Hg: 0.163 0.327 0.750
Hg: 0.163 0.837 0.750
Hg: 0.327 0.163 0.250
Hg: 0.673 0.837 0.750
Hg: 0.837 0.163 0.250
Hg: 0.837 0.673 0.250

Computed properties:
- E_form: -1.6 eV per formula unit
- N(E_F): 6.31 states/eV/cell
- E: -1.8125 eV/atom

# 12
# SrOs2Ru

A relaxed structure of SrOs2Ru (GGA-PBE, Alexandria via LeMat-Bulk).

Unit cell a=2.802 b=3.731 c=7.199 alpha=90.00 beta=90.00 gamma=90.00
Sites, in units of the cell vectors:
Sr: 0.000 0.000 0.000
Os: 0.000 0.000 0.495
Os: 0.500 0.500 0.325
Ru: 0.500 0.500 0.683

Computed properties:
- E_form: 2.4 eV per formula unit
- N(E_F): 4.95 states/eV/cell
- E: -7.7489 eV/atom
- Offset from the most stable computed form: 0.000 eV/atom

# 13
# Nd3Mg2Zn4

A relaxed structure of Nd3Mg2Zn4 (GGA-PBE, Alexandria via LeMat-Bulk).

Unit cell a=5.033 b=5.033 c=9.410 alpha=90.00 beta=90.00 gamma=120.00
Sites, in units of the cell vectors:
Nd: 0.000 0.000 0.000
Nd: 0.333 0.667 0.599
Nd: 0.667 0.333 0.401
Mg: 0.333 0.667 0.219
Mg: 0.667 0.333 0.781
Zn: 0.000 0.000 0.340
Zn: 0.000 0.000 0.660
Zn: 0.333 0.667 0.914
Zn: 0.667 0.333 0.086

Computed properties:
- E_form: -2.4 eV per formula unit
- N(E_F): 3.91 states/eV/cell
- E: -2.7777 eV/atom
- Offset from the most stable computed form: 0.000 eV/atom

# 14
# Pm15NdY4

A relaxed structure of Pm15NdY4 (GGA-PBE, Alexandria via LeMat-Bulk).

Unit cell a=5.148 b=5.148 c=25.663 alpha=90.00 beta=90.00 gamma=90.00
Sites, in units of the cell vectors:
Pm: 0.000 0.000 0.000
Pm: 0.000 0.000 0.201
Pm: 0.000 0.000 0.400
Pm: 0.000 0.000 0.600
Pm: 0.000 0.000 0.799
Pm: 0.000 0.500 0.101
Pm: 0.000 0.500 0.301
Pm: 0.000 0.500 0.500
Pm: 0.000 0.500 0.699
Pm: 0.000 0.500 0.899
Pm: 0.500 0.000 0.101
Pm: 0.500 0.000 0.301
Pm: 0.500 0.000 0.500
Pm: 0.500 0.000 0.699
Pm: 0.500 0.000 0.899
Nd: 0.500 0.500 0.000
Y: 0.500 0.500 0.201
Y: 0.500 0.500 0.400
Y: 0.500 0.500 0.600
Y: 0.500 0.500 0.799

Computed properties:
- E_form: 0.3 eV per formula unit
- N(E_F): 28.39 states/eV/cell
- E: -5.0810 eV/atom

# 15
# Hg3SbI

A relaxed structure of Hg3SbI (GGA-PBE, Alexandria via LeMat-Bulk).

Unit cell a=11.383 b=11.383 c=11.383 alpha=108.22 beta=108.22 gamma=108.22
Sites, in units of the cell vectors:
Hg: 0.074 0.700 0.813
Hg: 0.077 0.363 0.626
Hg: 0.187 0.926 0.300
Hg: 0.257 0.620 0.263
Hg: 0.263 0.257 0.620
Hg: 0.300 0.187 0.926
Hg: 0.363 0.626 0.077
Hg: 0.374 0.923 0.637
Hg: 0.380 0.737 0.743
Hg: 0.620 0.263 0.257
Hg: 0.626 0.077 0.363
Hg: 0.637 0.374 0.923
Hg: 0.700 0.813 0.074
Hg: 0.737 0.743 0.380
Hg: 0.743 0.380 0.737
Hg: 0.813 0.074 0.700
Hg: 0.923 0.637 0.374
Hg: 0.926 0.300 0.187
Sb: 0.126 0.543 0.419
Sb: 0.419 0.126 0.543
Sb: 0.457 0.581 0.874
Sb: 0.543 0.419 0.126
Sb: 0.581 0.874 0.457
Sb: 0.874 0.457 0.581
I: 0.047 0.310 0.930
I: 0.070 0.953 0.690
I: 0.310 0.930 0.047
I: 0.690 0.070 0.953
I: 0.930 0.047 0.310
I: 0.953 0.690 0.070

Computed properties:
- E: -1.3580 eV/atom
- Offset from the most stable computed form: 0.029 eV/atom
- Formation energy (no corrections): -0.04 eV/atom

# 16
# Tb6PrSm3Ho2

A relaxed structure of Tb6PrSm3Ho2 (GGA-PBE, Alexandria via LeMat-Bulk).

Unit cell a=6.205 b=6.205 c=11.879 alpha=94.98 beta=94.98 gamma=119.97
Sites, in units of the cell vectors:
Tb: 0.082 0.417 0.751
Tb: 0.249 0.249 0.249
Tb: 0.417 0.082 0.751
Tb: 0.583 0.918 0.249
Tb: 0.751 0.751 0.751
Tb: 0.918 0.583 0.249
Pr: 0.500 0.500 0.000
Sm: 0.000 0.000 0.500
Sm: 0.333 0.667 0.500
Sm: 0.667 0.333 0.500
Ho: 0.167 0.833 0.000
Ho: 0.833 0.167 0.000

Computed properties:
- E_form: 0.2 eV per formula unit
- N(E_F): 15.18 states/eV/cell
- E: -4.6415 eV/atom

# 17
# La4TePPb2

A relaxed structure of La4TePPb2 (GGA-PBE, Alexandria via LeMat-Bulk).

Unit cell a=7.755 b=4.429 c=8.195 alpha=90.00 beta=107.91 gamma=90.00
Sites, in units of the cell vectors:
La: 0.225 0.000 0.223
La: 0.238 0.500 0.763
La: 0.762 0.500 0.237
La: 0.775 0.000 0.777
Te: 0.500 0.000 0.000
P: 0.000 0.500 0.000
Pb: 0.000 0.000 0.500
Pb: 0.500 0.500 0.500

Computed properties:
- N(E_F): 4.70 states/eV/cell
- E: -5.5047 eV/atom
- Formation energy (no corrections): -1.04 eV/atom

# 18
# YTmTl2

A relaxed structure of YTmTl2 (GGA-PBE, Alexandria via LeMat-Bulk).

Unit cell a=3.773 b=3.773 c=7.546 alpha=90.00 beta=90.00 gamma=90.00
Sites, in units of the cell vectors:
Y: 0.000 0.000 0.000
Tm: 0.000 0.000 0.500
Tl: 0.500 0.500 0.255
Tl: 0.500 0.500 0.745

Computed properties:
- E_form: -1.3 eV per formula unit
- N(E_F): 2.75 states/eV/cell
- E: -4.2526 eV/atom

# 19
# K4PmDy3Te8

A relaxed structure of K4PmDy3Te8 (GGA-PBE, Alexandria via LeMat-Bulk).

Unit cell a=9.761 b=9.761 c=9.761 alpha=55.17 beta=55.17 gamma=55.17
Sites, in units of the cell vectors:
K: 0.000 0.000 0.000
K: 0.000 0.500 0.500
K: 0.500 0.000 0.500
K: 0.500 0.500 0.000
Pm: 0.500 0.500 0.500
Dy: 0.000 0.000 0.500
Dy: 0.000 0.500 0.000
Dy: 0.500 0.000 0.000
Te: 0.231 0.739 0.739
Te: 0.236 0.236 0.236
Te: 0.261 0.261 0.769
Te: 0.261 0.769 0.261
Te: 0.739 0.231 0.739
Te: 0.739 0.739 0.231
Te: 0.764 0.764 0.764
Te: 0.769 0.261 0.261

Computed properties:
- E: -4.4056 eV/atom
- Formation energy (no corrections): -1.40 eV/atom

# 20
# Tb4TmPbS8

A relaxed structure of Tb4TmPbS8 (GGA-PBE, Alexandria via LeMat-Bulk).

Unit cell a=8.125 b=8.125 c=8.125 alpha=60.47 beta=60.47 gamma=60.47
Sites, in units of the cell vectors:
Tb: 0.000 0.000 0.000
Tb: 0.378 0.378 0.870
Tb: 0.378 0.870 0.378
Tb: 0.870 0.378 0.378
Tm: 0.377 0.377 0.377
Pb: 0.752 0.752 0.752
S: 0.133 0.133 0.133
S: 0.136 0.136 0.601
S: 0.136 0.601 0.136
S: 0.168 0.609 0.609
S: 0.601 0.136 0.136
S: 0.609 0.168 0.609
S: 0.609 0.609 0.168
S: 0.613 0.613 0.613

Computed properties:
- N(E_F): 3.77 states/eV/cell
- E: -6.0351 eV/atom
- Formation energy (no corrections): -1.77 eV/atom

# 21
# CaSc2Mo2

A relaxed structure of CaSc2Mo2 (GGA-PBE, Alexandria via LeMat-Bulk).

Unit cell a=6.870 b=6.870 c=6.870 alpha=142.54 beta=142.54 gamma=54.02
Sites, in units of the cell vectors:
Ca: 0.000 0.000 0.000
Sc: 0.250 0.750 0.500
Sc: 0.750 0.250 0.500
Mo: 0.409 0.409 0.000
Mo: 0.591 0.591 0.000

Computed properties:
- E_form: 3.2 eV per formula unit
- N(E_F): 9.83 states/eV/cell
- E: -6.6296 eV/atom
- Offset from the most stable computed form: 0.337 eV/atom